No. 1
{
  "formula": "AlPb2Se",
  "functional": "GGA-PBEsol",
  "state": "optimized geometry",
  "polymorph_energy_mev_per_atom": 99,
  "e_form_raw_ev_per_atom": 0.143,
  "space_group": "F-43m, No. 216",
  "lattice": [[-4.895, -0.604, 1.601], [-0.994, -2.577, 4.389], [-1.695, 2.557, 4.181]],
  "species": ["Se", "Pb", "Pb", "Al"],
  "fractional_positions": [[0.250, 0.250, 0.250], [0.750, 0.750, 0.750], [0.000, 0.000, 0.000], [0.500, 0.500, 0.500]]
}

=====

No. 2
{
  "formula": "AlPb2Se",
  "functional": "GGA-PBEsol",
  "state": "optimized geometry",
  "polymorph_energy_mev_per_atom": 80,
  "e_form_raw_ev_per_atom": 0.124,
  "space_group": "Fm-3m, No. 225",
  "lattice": [[5.175, 0.000, 0.000], [2.588, 4.482, 0.000], [2.588, 1.494, 4.226]],
  "species": ["Pb", "Pb", "Al", "Se"],
  "fractional_positions": [[0.250, 0.250, 0.250], [0.750, 0.750, 0.750], [0.000, 0.000, 0.000], [0.500, 0.500, 0.500]]
}

=====

No. 3
{
  "formula": "Al2PbSe4",
  "functional": "GGA-PBEsol",
  "state": "optimized geometry",
  "e_form_raw_ev_per_atom": -0.764,
  "space_group": "Cccm, No. 66",
  "lattice": [[6.198, 0.000, 0.000], [-3.099, 5.352, 0.000], [0.000, 0.000, 10.736]],
  "species": ["Al", "Al", "Al", "Al", "Se", "Se", "Se", "Se", "Se", "Se", "Se", "Se", "Pb", "Pb"],
  "fractional_positions": [[0.238, 0.479, 0.000], [0.759, 0.521, 0.500], [0.241, 0.479, 0.500], [0.762, 0.521, 0.000], [0.000, 0.500, 0.172], [0.000, 0.500, 0.828], [0.500, 0.500, 0.672], [0.500, 0.500, 0.328], [0.187, 0.843, 0.500], [0.344, 0.157, 0.000], [0.656, 0.843, 0.000], [0.813, 0.157, 0.500], [0.500, 0.000, 0.750], [0.500, 0.000, 0.250]]
}

=====

No. 4
{
  "formula": "AlPb2Se",
  "functional": "GGA-PBEsol",
  "state": "optimized geometry",
  "polymorph_energy_mev_per_atom": 0,
  "e_form_raw_ev_per_atom": 0.044,
  "space_group": "R-3m, No. 166",
  "lattice": [[-0.824, -2.428, 2.969], [2.909, -1.654, 2.047], [0.660, 4.776, 6.681]],
  "species": ["Pb", "Pb", "Al", "Se"],
  "fractional_positions": [[0.249, 0.249, 0.254], [0.751, 0.751, 0.746], [0.000, 0.000, 0.000], [0.500, 0.500, 0.500]]
}

=====

No. 5
{
  "formula": "TaAlPbSe2",
  "functional": "GGA-PBEsol",
  "state": "optimized geometry",
  "e_form_raw_ev_per_atom": 0.947,
  "space_group": "P4/mmm, No. 123",
  "lattice": [[-3.789, 1.544, 2.423], [1.521, -2.324, 3.859], [2.656, 4.197, 1.480]],
  "species": ["Pb", "Ta", "Al", "Se", "Se"],
  "fractional_positions": [[0.000, 0.000, 0.500], [0.500, 0.500, 0.500], [0.000, 0.000, 0.000], [0.000, 0.500, 0.000], [0.500, 0.000, 0.000]]
}

=====

No. 6
{
  "formula": "AlSi4Pb",
  "functional": "GGA-PBEsol",
  "state": "optimized geometry",
  "e_form_raw_ev_per_atom": 0.400,
  "space_group": "F-43m, No. 216",
  "lattice": [[5.300, 0.000, 0.000], [2.650, 4.590, 0.000], [2.650, 1.530, 4.328]],
  "species": ["Si", "Si", "Si", "Si", "Pb", "Al"],
  "fractional_positions": [[0.377, 0.377, 0.377], [0.377, 0.870, 0.377], [0.870, 0.377, 0.377], [0.377, 0.377, 0.870], [0.000, 0.000, 0.000], [0.750, 0.750, 0.750]]
}